1.
The following is a DFT calculation (PBE-GGA) of a relaxed structure of TlAg2Ir.

Calculated values
For the density of states at the Fermi level, the calculation gives 0.94 states/eV per atom. The volume comes out at 77 Å³ per cell. For the total magnetic moment, the calculation gives 0.126 μB per atom. The formation energy is 0.49 eV/atom. As for the space group: Cmmm, No. 65.

Unit cell a=2.917 b=2.917 c=10.104 alpha=90.00 beta=90.00 gamma=117.08
Fractional positions:
Ag  0.000  0.000  0.480
Ir  0.500  0.500  0.250
Tl  0.500  0.500  0.750
Ag  0.000  0.000  0.020

2.
The following is a DFT calculation (PBE-GGA) of a relaxed structure of TlAgIr2.

Calculated values
For the density of states at the Fermi level, the calculation gives 0.85 states/eV per atom. The volume comes out at 70 Å³ per cell. For the total magnetic moment, the calculation gives 0.000 μB per atom. The formation energy is 0.66 eV/atom. As for the space group: Cmmm, No. 65.

Unit cell a=2.904 b=2.904 c=9.408 alpha=90.00 beta=90.00 gamma=118.44
Fractional positions:
Ir  0.000  0.000  0.001
Ag  0.500  0.500  0.750
Tl  0.500  0.500  0.250
Ir  0.000  0.000  0.499